Entry 1:
Ce2ZnC (PBE-GGA, optimized geometry); SG = R-3m (166); VASP energy = -22.125 eV/cell; DOS at the Fermi energy = 1.9562 states/eV per atom; distance to the lowest polymorph of the same formula = 189 meV/atom; formation energy = 60 meV/atom
1.0
-2.191 0.217 2.612
-0.202 -2.539 2.276
5.863 3.396 6.871
Zn C Ce
1 1 2
Direct
0.000 0.000 0.000
0.500 0.500 0.500
0.115 0.115 0.654
0.885 0.885 0.346


Entry 2:
SrH3Pt (PBE-GGA, optimized geometry); SG = P-1 (2); VASP energy = -41.224 eV/cell; DOS at the Fermi energy = 0.0000 states/eV per atom
1.0
-2.670 -5.236 3.458
3.798 -1.869 0.107
1.150 2.577 3.953
H Pt Sr
6 2 2
Direct
0.291 0.056 0.525
0.825 0.552 0.534
0.119 0.552 0.022
0.318 0.052 0.022
0.626 0.052 0.534
0.653 0.048 0.031
0.972 0.552 0.278
0.472 0.052 0.778
0.472 0.552 0.278
0.972 0.052 0.778


Entry 3:
MnTl2Fe (PBE-GGA, optimized geometry); SG = Cmmm (65); VASP energy = -19.906 eV/cell; DOS at the Fermi energy = 0.5279 states/eV per atom; distance to the lowest polymorph of the same formula = 136 meV/atom; formation energy = 615 meV/atom
1.0
-0.198 -4.672 1.997
4.923 1.259 -0.175
-0.211 1.215 2.823
Fe Mn Tl
1 1 2
Direct
0.500 0.000 0.500
0.000 0.500 0.500
0.000 0.000 0.000
0.500 0.500 0.000


Entry 4:
Rb2SiF7 (PBE-GGA, optimized geometry); SG = C2/c (15); VASP energy = -93.684 eV/cell; ΔE_f (raw) = -2.64 eV/atom; distance to the lowest polymorph of the same formula = 80 meV/atom
1.0
5.359 0.000 2.613
2.300 8.165 2.084
-0.353 -0.787 7.526
Rb Si F
4 2 14
Direct
0.621 0.943 0.736
0.701 0.443 0.236
0.299 0.557 0.764
0.379 0.057 0.264
0.983 0.250 0.750
0.017 0.750 0.250
0.842 0.448 0.812
0.899 0.948 0.312
0.244 0.803 0.003
0.277 0.280 0.590
0.667 0.250 0.750
0.949 0.303 0.503
0.147 0.220 0.910
0.853 0.780 0.090
0.051 0.697 0.497
0.333 0.750 0.250
0.723 0.720 0.410
0.756 0.197 0.997
0.101 0.052 0.688
0.158 0.552 0.188